The following is a PBE-GGA calculation of crystalline SiRhN2 at its relaxed geometry, from the Alexandria database.

Unit cell a=6.189 b=6.189 c=6.189 alpha=25.86 beta=25.86 gamma=25.86
Sites, in units of the cell vectors:
Si: 0.000 0.000 0.000
Rh: 0.500 0.500 0.500
N: 0.390 0.390 0.390
N: 0.610 0.610 0.610

crystal system	trigonal
raw formation energy	-169	meV/atom
total magnetization	0.00	Bohr magnetons per cell
symmetry	No. 166